{
  "formula": "RbNdCoF6",
  "functional": "PBE+U",
  "state": "relaxed",
  "dos_at_fermi_per_ev_cell": 0.0,
  "sg": "Imma (74)",
  "e_tot_ev_per_cell": -100.29,
  "lattice": [[-3.722, 3.926, 5.194], [3.722, -3.926, 5.194], [3.722, 3.926, -5.194]],
  "species": ["Rb", "Rb", "Nd", "Nd", "Co", "Co", "F", "F", "F", "F", "F", "F", "F", "F", "F", "F", "F", "F"],
  "frac_coords": [[0.338, 0.088, 0.250], [0.662, 0.912, 0.750], [0.000, 0.500, 0.500], [0.500, 0.500, 0.000], [0.000, 0.000, 0.500], [0.000, 0.500, 0.000], [0.056, 0.347, 0.169], [0.056, 0.887, 0.710], [0.096, 0.346, 0.750], [0.322, 0.113, 0.669], [0.322, 0.653, 0.210], [0.370, 0.620, 0.750], [0.630, 0.380, 0.250], [0.678, 0.347, 0.790], [0.678, 0.887, 0.331], [0.904, 0.654, 0.250], [0.944, 0.113, 0.290], [0.944, 0.653, 0.831]]
}